Record 1
# BaSr2Re (PBEsol, relaxed)
data_BaSr2Re
_cell_length_a 5.120
_cell_length_b 5.120
_cell_length_c 9.247
_cell_angle_alpha 90.00
_cell_angle_beta 90.00
_cell_angle_gamma 90.00
_space_group_name_H-M_alt 'I 4/m m m'
_space_group_IT_number 139
_space_group_name_Hall '-I 4 2'
loop_
_atom_site_label
_atom_site_type_symbol
_atom_site_fract_x
_atom_site_fract_y
_atom_site_fract_z
Ba1 Ba 0.000 0.000 0.000
Sr1 Sr 0.000 0.500 0.250
Re1 Re 0.000 0.000 0.500
# calculated formation energy = 393 kJ/mol of formula units
# electronic total energy = -3.773 eV/atom
# ΔE to the lowest computed polymorph = 0 meV/atom
# magnetization = 1.27 μB/cell
# N(E_F) = 5.06 states/eV/f.u.
# density = 6.834 Mg/m³


Record 2
# BaSrRe2 (PBEsol, relaxed)
data_BaSrRe2
_cell_length_a 3.768
_cell_length_b 5.412
_cell_length_c 10.938
_cell_angle_alpha 90.00
_cell_angle_beta 90.00
_cell_angle_gamma 90.00
_space_group_name_H-M_alt 'I m m 2'
_space_group_IT_number 44
loop_
_space_group_symop_operation_xyz
'x,y,z'
'-x,-y,z'
'-x,y,z'
'x,-y,z'
'x+1/2,y+1/2,z+1/2'
'-x+1/2,-y+1/2,z+1/2'
'-x+1/2,y+1/2,z+1/2'
'x+1/2,-y+1/2,z+1/2'
loop_
_atom_site_label
_atom_site_type_symbol
_atom_site_fract_x
_atom_site_fract_y
_atom_site_fract_z
Ba1 Ba 0.000 0.000 0.000
Sr1 Sr 0.000 0.500 0.218
Re1 Re 0.000 0.000 0.412
Re2 Re 0.000 0.500 0.783
# calculated formation energy = 295 kJ/mol of formula units
# electronic total energy = -6.899 eV/atom
# ΔE to the lowest computed polymorph = 0 meV/atom
# magnetization = 0.00 μB/cell
# N(E_F) = 3.77 states/eV/f.u.
# density = 8.894 Mg/m³